1.
# ZnRuCl2

ZnRuCl2 after structural relaxation (PBE-GGA, Alexandria via LeMat-Bulk).

Values from the calculation:
Its raw formation energy is 0.44 eV per atom. The magnetic moment is 2.26 μB per formula unit. The calculation puts the polymorph energy (0 for the lowest one) at 275 kJ/mol of formula units. The value obtained for the mass density is 5.6 g cm⁻³. The space group is No. 139.

Structure (POSCAR):
```
ZnRuCl2
1.0
-3.423 -1.871 -2.478
-1.776 -1.823 3.857
0.801 4.545 -0.243
Cl Ru Zn
2 1 1
Direct
0.000 0.000 0.000 Cl
0.500 0.500 0.000 Cl
0.250 0.750 0.500 Ru
0.750 0.250 0.500 Zn
```


2.
# Rb3OsF7

Rb3OsF7 after structural relaxation (PBE-GGA, Alexandria via LeMat-Bulk).

Values from the calculation:
Its raw formation energy is -2.24 eV per atom. The magnetic moment is 0.14 μB per formula unit. The value obtained for the mass density is 4.3 g cm⁻³. The space group is No. 8.

Structure (POSCAR):
```
Rb3OsF7
1.0
-2.169 -5.632 -1.344
3.253 -2.549 4.600
-3.953 -2.881 5.101
F Rb Os
7 3 1
Direct
0.286 0.971 0.790 F
0.679 0.679 0.243 F
0.122 0.122 0.143 F
0.081 0.673 0.216 F
0.971 0.286 0.790 F
0.673 0.081 0.216 F
0.863 0.863 0.819 F
0.234 0.764 0.498 Rb
0.495 0.495 0.010 Rb
0.764 0.234 0.498 Rb
0.958 0.958 0.027 Os
```


3.
# Er2ScIr

Er2ScIr after structural relaxation (PBE-GGA, Alexandria via LeMat-Bulk).

Values from the calculation:
The calculated formation energy comes out at -570 meV per atom. The magnetic moment is 0.00 μB per formula unit. The calculation puts the polymorph energy (0 for the lowest one) at 0 kJ/mol of formula units. The value obtained for the mass density is 9.7 g cm⁻³. The space group is No. 63.

Structure (POSCAR):
```
Er2ScIr
1.0
3.772 0.000 0.000
-1.885 5.854 0.000
0.000 0.000 8.876
Sc Ir Er
2 2 4
Direct
0.926 0.851 0.250 Sc
0.074 0.149 0.750 Sc
0.263 0.526 0.250 Ir
0.737 0.474 0.750 Ir
0.638 0.277 0.065 Er
0.362 0.723 0.565 Er
0.638 0.277 0.435 Er
0.362 0.723 0.935 Er
```


4.
# HgPtSe2

HgPtSe2 after structural relaxation (PBE-GGA, Alexandria via LeMat-Bulk).

Values from the calculation:
Its raw formation energy is -0.03 eV per atom. The magnetic moment is 0.00 μB per formula unit. The calculation puts the polymorph energy (0 for the lowest one) at 103 kJ/mol of formula units. The value obtained for the mass density is 10.1 g cm⁻³. The space group is No. 8.

Structure (POSCAR):
```
HgPtSe2
1.0
-1.008 -1.928 -3.545
2.036 -3.168 -1.768
-3.399 -5.613 1.905
Se Hg Pt
2 1 1
Direct
0.803 0.803 0.738 Se
0.927 0.927 0.040 Se
0.522 0.522 0.487 Hg
0.249 0.249 0.235 Pt
```


> The lowest mass density belongs to which entry?

Rb3OsF7